Density functional theory data (PBE-GGA) for a relaxed Li2Sm3Ga4 crystal.

a = 4.614 Å, b = 5.819 Å, c = 8.782 Å
α = 113.24°, β = 90.00°, γ = 113.36°
Fractional coordinates of all 9 atoms:
Li 0.603 0.206 0.273
Li 0.397 0.794 0.727
Sm 0.670 0.339 0.660
Sm 0.000 0.000 0.000
Sm 0.330 0.661 0.340
Ga 0.738 0.475 0.075
Ga 0.262 0.525 0.925
Ga 0.961 0.922 0.626
Ga 0.039 0.078 0.374

Computed properties:
Calculated volume ... 195 Å³/cell
Space group ... No. 12
Crystal system ... monoclinic
DOS at the Fermi energy ... 4.56 states/eV per cell
ρ ... 6.320 g/cm³
E_form ... -4.4 eV per formula unit

Density functional theory data (PBE-GGA) for a relaxed PuMgNb4N8 crystal.

a = 6.273 Å, b = 6.273 Å, c = 6.465 Å
α = 60.98°, β = 60.98°, γ = 60.00°
Last column: magnetic moment on the atom in μB.
Fractional coordinates of all 14 atoms:
Pu 0.999 0.999 0.002  4.01
Mg 0.375 0.375 0.876  0.00
Nb 0.627 0.627 0.120  0.12
Nb 0.003 0.488 0.505  0.12
Nb 0.488 0.003 0.505  0.12
Nb 0.003 0.003 0.505  0.12
N 0.245 0.785 0.724  -0.05
N 0.785 0.245 0.724  -0.05
N 0.245 0.245 0.724  -0.05
N 0.239 0.239 0.284  0.01
N 0.746 0.242 0.265  -0.05
N 0.242 0.746 0.265  -0.05
N 0.746 0.746 0.265  -0.05
N 0.756 0.756 0.732  0.01

Computed properties:
Calculated volume ... 182 Å³/cell
Space group ... No. 160
Crystal system ... trigonal
DOS at the Fermi energy ... 8.39 states/eV per cell
ρ ... 6.843 g/cm³
Formation energy from raw total energies ... -856 meV per atom

Density functional theory data (PBE-GGA) for a relaxed SrMg3Pd crystal.

a = 6.204 Å, b = 6.204 Å, c = 6.204 Å
α = 90.00°, β = 90.00°, γ = 90.00°
Fractional coordinates of all 5 atoms:
Sr 0.000 0.000 0.000
Mg 0.000 0.500 0.000
Mg 0.000 0.000 0.500
Mg 0.500 0.000 0.000
Pd 0.500 0.500 0.500

Computed properties:
Energy above the most stable polymorph in this dataset ... 1645 meV/atom
Calculated volume ... 239 Å³/cell
Space group ... No. 221
Crystal system ... cubic
DOS at the Fermi energy ... 4.45 states/eV per cell
ρ ... 1.856 g/cm³
E_form ... 6.6 eV per formula unit

Density functional theory data (PBE-GGA) for a relaxed Sm3BiO6 crystal.

a = 5.973 Å, b = 6.197 Å, c = 8.654 Å
α = 90.00°, β = 89.54°, γ = 90.00°
Fractional coordinates of all 20 atoms:
Sm 0.506 0.951 0.772
Sm 0.500 0.500 0.000
Sm 0.494 0.049 0.228
Sm 0.006 0.549 0.272
Sm 0.000 0.000 0.500
Sm 0.994 0.451 0.728
Bi 0.500 0.500 0.500
Bi 0.000 0.000 0.000
O 0.655 0.168 0.955
O 0.691 0.185 0.603
O 0.653 0.411 0.249
O 0.347 0.589 0.751
O 0.309 0.815 0.397
O 0.345 0.832 0.045
O 0.155 0.332 0.455
O 0.191 0.315 0.103
O 0.153 0.089 0.749
O 0.847 0.911 0.251
O 0.809 0.685 0.897
O 0.845 0.668 0.545

Computed properties:
Energy above the most stable polymorph in this dataset ... 84 meV/atom
Calculated volume ... 320 Å³/cell
Space group ... No. 14
Crystal system ... monoclinic
DOS at the Fermi energy ... 0.00 states/eV per cell
ρ ... 7.840 g/cm³
Formation energy from raw total energies ... -2776 meV per atom

Density functional theory data (PBE-GGA) for a relaxed PIrWS2 crystal.

a = 4.549 Å, b = 4.549 Å, c = 4.767 Å
α = 90.00°, β = 90.00°, γ = 90.00°
Last column: magnetic moment on the atom in μB.
Fractional coordinates of all 5 atoms:
P 0.000 0.000 0.500  -0.02
S 0.000 0.500 0.000  0.02
S 0.500 0.000 0.000  0.02
Ir 0.500 0.500 0.500  0.49
W 0.000 0.000 0.000  0.02

Computed properties:
Energy above the most stable polymorph in this dataset ... 0 meV/atom
Calculated volume ... 99 Å³/cell
Space group ... No. 123
Crystal system ... tetragonal
DOS at the Fermi energy ... 6.64 states/eV per cell
ρ ... 7.930 g/cm³
Formation energy from raw total energies ... 1082 meV per atom

Density functional theory data (PBE-GGA) for a relaxed TmU2S4 crystal.

a = 3.698 Å, b = 6.729 Å, c = 13.222 Å
α = 90.00°, β = 90.00°, γ = 105.95°
Last column: magnetic moment on the atom in μB.
Fractional coordinates of all 14 atoms:
Tm 0.620 0.239 0.750  0.11
Tm 0.380 0.761 0.250  0.11
U 0.136 0.273 0.432  2.62
U 0.864 0.727 0.932  2.62
U 0.136 0.273 0.068  2.62
U 0.864 0.727 0.568  2.62
S 0.784 0.567 0.127  -0.05
S 0.784 0.567 0.373  -0.05
S 0.216 0.433 0.873  -0.05
S 0.216 0.433 0.627  -0.05
S 0.966 0.932 0.750  -0.04
S 0.034 0.068 0.250  -0.04
S 0.500 0.000 0.000  -0.08
S 0.500 0.000 0.500  -0.08

Computed properties:
Calculated volume ... 316 Å³/cell
Space group ... No. 63
Crystal system ... orthorhombic
DOS at the Fermi energy ... 20.87 states/eV per cell
ρ ... 8.118 g/cm³
Formation energy from raw total energies ... -1513 meV per atom

Density functional theory data (PBE-GGA) for a relaxed La3PrAl crystal.

a = 5.950 Å, b = 5.950 Å, c = 10.664 Å
α = 90.00°, β = 90.00°, γ = 114.47°
Fractional coordinates of all 10 atoms:
La 0.682 0.295 0.068
La 0.682 0.295 0.432
La 0.121 0.145 0.750
La 0.295 0.682 0.568
La 0.295 0.682 0.932
La 0.145 0.121 0.250
Pr 0.759 0.500 0.750
Pr 0.500 0.759 0.250
Al 0.877 0.877 0.000
Al 0.877 0.877 0.500

Computed properties:
Energy above the most stable polymorph in this dataset ... 112 meV/atom
Calculated volume ... 344 Å³/cell
Space group ... No. 40
Crystal system ... orthorhombic
DOS at the Fermi energy ... 11.24 states/eV per cell
ρ ... 5.651 g/cm³
E_form ... -0.1 eV per formula unit

Density functional theory data (PBE-GGA) for a relaxed PrMgC crystal.

a = 3.677 Å, b = 4.326 Å, c = 10.053 Å
α = 96.99°, β = 90.00°, γ = 115.15°
Fractional coordinates of all 6 atoms:
Pr 0.122 0.244 0.854
Pr 0.878 0.756 0.146
Mg 0.368 0.737 0.594
Mg 0.632 0.263 0.406
C 0.580 0.159 0.035
C 0.420 0.841 0.965

Computed properties:
Calculated volume ... 143 Å³/cell
Space group ... No. 12
Crystal system ... monoclinic
DOS at the Fermi energy ... 2.53 states/eV per cell
ρ ... 4.103 g/cm³
E_form ... -0.1 eV per formula unit